Mg3Cd5Cl16: relaxed, PBE-GGA.

Computed properties:
E_form (uncorrected) in eV per atom: -1.356
DOS(E_F) in states/eV per atom: 0.000
E in eV/atom: -2.98

```
data_Mg3Cd5Cl16
_symmetry_space_group_name_H-M 'P 1'
_symmetry_Int_Tables_number 1
_symmetry_space_group_name_Hall 'P 1'
_cell_length_a 7.6184
_cell_length_b 7.6184
_cell_length_c 12.1966
_cell_angle_alpha 90.88
_cell_angle_beta 90.88
_cell_angle_gamma 59.67
loop_
_atom_site_label
_atom_site_type_symbol
_atom_site_fract_x
_atom_site_fract_y
_atom_site_fract_z
Mg1 Mg 0.8308 0.8308 0.7843
Mg2 Mg 0.1679 0.6622 0.2852
Mg3 Mg 0.6622 0.1679 0.2852
Cd1 Cd 0.3376 0.8307 0.7848
Cd2 Cd 0.6700 0.6700 0.5165
Cd3 Cd 0.8307 0.3376 0.7848
Cd4 Cd 0.1685 0.1685 0.2847
Cd5 Cd 0.3361 0.3361 0.0200
Cl1 Cl 0.3224 0.8300 0.4029
Cl2 Cl 0.5097 0.5097 0.6535
Cl3 Cl 0.6764 0.6764 0.9037
Cl4 Cl 0.9904 0.9904 0.6739
Cl5 Cl 0.9912 0.9912 0.1782
Cl6 Cl 0.8300 0.3224 0.4029
Cl7 Cl 0.5184 0.9805 0.6605
Cl8 Cl 0.9805 0.5184 0.6605
Cl9 Cl 0.1609 0.1609 0.9113
Cl10 Cl 0.8374 0.8374 0.3970
Cl11 Cl 0.0213 0.4995 0.1615
Cl12 Cl 0.4995 0.0213 0.1615
Cl13 Cl 0.3416 0.3416 0.3998
Cl14 Cl 0.1550 0.6732 0.9021
Cl15 Cl 0.4883 0.4883 0.1673
Cl16 Cl 0.6732 0.1550 0.9021
```